3
Lattice="-1.449 -2.408 3.607 -1.183 -4.388 -0.506 2.637 -3.297 1.757" Properties=species:S:1:pos:R:3 comment="PBE SrTcW, relaxed" e_tot_ev_per_cell=-21.126 formation_enthalpy_0k_ev_per_atom=1.29 polymorph_energy_mev_per_atom=664 dos_ef_per_ev_cell=3.011 m_tot_mub_per_cell=0.00 pbc="T T T"
Tc 0.001 -2.523 1.214
Sr 0.003 -5.046 2.429
W 0.000 0.000 0.000

=====

10
Lattice="4.940 0.000 0.000 0.000 6.412 -2.536 -2.470 -3.469 9.804" Properties=species:S:1:pos:R:3 comment="PBE Sm5ScGe4, relaxed" e_tot_ev_per_cell=-54.479 formation_enthalpy_0k_ev_per_atom=-0.61 dos_ef_per_ev_cell=5.788 m_tot_mub_per_cell=0.00 pbc="T T T"
Sm 0.000 0.927 2.404
Sm 0.000 4.170 1.121
Sm 2.470 -1.227 6.146
Sm 2.470 2.015 4.864
Sm 2.470 3.206 -1.268
Ge 0.000 1.551 -0.478
Ge 2.470 1.392 7.746
Ge 2.470 -0.561 3.182
Ge 0.000 3.503 4.086
Sc 2.470 0.000 0.000

=====

4
Lattice="-1.361 -2.125 3.306 -0.993 -3.209 -2.472 3.979 -1.668 0.567" Properties=species:S:1:pos:R:3 comment="PBE CoHg2As, relaxed" e_tot_ev_per_cell=-10.151 formation_enthalpy_0k_ev_per_atom=0.55 dos_ef_per_ev_cell=5.438 m_tot_mub_per_cell=1.46 pbc="T T T"
Hg 0.000 0.000 0.000
Hg -1.177 -2.667 0.417
Co 1.493 -2.438 -0.953
As 1.309 -1.896 1.936